[1]
HfZnCo2B: relaxed, PBE.

Summary:
theoretical density: 9.241 g cm⁻³
N(E_F): 6.1 states/eV/f.u.
calculated volume: 13.39 Å³/atom
raw total energy: -6.413 eV per atom
ΔE_f: 0.011 eV per atom

```
5
Lattice="-2.266 -2.366 2.065 1.533 -3.493 -2.318 2.845 -0.468 2.586" Properties=species:S:1:pos:R:3 pbc="T T T"
Co -1.133 -1.183 1.033
Co 1.422 -0.234 1.293
Zn 1.056 -3.163 1.166
Hf 0.767 -1.747 -1.159
B 0.000 0.000 0.000
```

***

[2]
SrMgPbF: relaxed, PBE.

Summary:
raw formation energy: -1625 meV/atom
theoretical density: 5.538 g cm⁻³
N(E_F): 1.2 states/eV/f.u.
calculated volume: 25.35 Å³/atom
raw total energy: -3.839 eV per atom

```
8
Lattice="-2.084 -3.746 0.526 3.115 -1.360 2.664 -5.400 4.191 8.454" Properties=species:S:1:pos:R:3 pbc="T T T"
Pb -4.798 1.042 6.143
Pb -0.087 0.596 3.906
F 0.000 0.000 0.000
F 0.515 -2.553 1.595
Mg -2.700 2.096 4.227
Mg -2.184 -0.457 5.822
Sr -1.706 -1.358 1.302
Sr -3.178 2.996 8.747
```

***

[3]
TmMgGa2Pt4: relaxed, PBE.

Summary:
theoretical density: 13.573 g cm⁻³
N(E_F): 4.4 states/eV/f.u.
calculated volume: 17.02 Å³/atom
raw total energy: -5.388 eV per atom
ΔE_f: -0.852 eV per atom

```
8
Lattice="4.382 0.000 0.000 2.191 3.795 0.000 2.191 1.265 8.190" Properties=species:S:1:pos:R:3 pbc="T T T"
Pt 4.382 2.530 6.658
Pt 6.572 3.795 3.155
Pt 4.382 2.530 1.532
Pt 2.191 1.265 5.035
Ga 2.191 1.265 2.144
Ga 6.572 3.795 6.046
Tm 0.000 0.000 0.000
Mg 4.382 2.530 4.095
```

***

[4]
Zr2CdTe: relaxed, PBE.

Summary:
raw formation energy: -203 meV/atom
theoretical density: 7.839 g cm⁻³
N(E_F): 5.1 states/eV/f.u.
calculated volume: 22.37 Å³/atom
energy above the most stable polymorph in this dataset: 0.1139 eV per atom
raw total energy: -5.492 eV per atom

```
4
Lattice="-3.637 0.081 3.460 -2.877 4.081 0.523 -4.815 -0.125 -1.416" Properties=species:S:1:pos:R:3 pbc="T T T"
Zr -8.497 3.028 1.925
Zr -2.832 1.009 0.642
Cd 0.000 0.000 0.000
Te -5.665 2.019 1.283
```

***

[5]
Ca5TlNi2: relaxed, PBE.

Summary:
theoretical density: 3.927 g cm⁻³
N(E_F): 4.8 states/eV/f.u.
calculated volume: 27.60 Å³/atom
raw total energy: -3.216 eV per atom
ΔE_f: -0.224 eV per atom

```
16
Lattice="2.287 -3.635 -6.479 -0.338 -6.823 3.708 -7.953 4.468 -0.652" Properties=species:S:1:pos:R:3 pbc="T T T"
Ca -1.180 -2.566 -2.047
Ca -4.825 -3.423 -1.375
Ca -0.621 -8.300 -1.818
Ca 0.974 -5.229 -1.385
Ca -4.293 -0.588 -4.256
Ca -1.711 -5.402 0.834
Ca -0.090 -5.465 -4.699
Ca 0.000 0.000 0.000
Ca -5.383 2.310 -1.604
Ca -5.915 -0.525 1.277
Ni 0.116 -3.065 0.747
Ni 1.355 -2.954 -3.541
Ni 0.593 -7.503 0.770
Ni 1.833 -7.393 -3.517
Tl -3.489 -0.380 -1.018
Tl -2.515 -5.609 -2.404
```

***

[6]
P2N: relaxed, PBE.

Summary:
raw formation energy: 267 meV/atom
theoretical density: 3.070 g cm⁻³
N(E_F): 1.0 states/eV/f.u.
calculated volume: 13.69 Å³/atom
energy above the most stable polymorph in this dataset: 0.1974 eV per atom
raw total energy: -6.115 eV per atom

```
3
Lattice="-1.094 2.312 0.684 -1.903 -0.332 -1.920 -3.326 -2.687 3.761" Properties=species:S:1:pos:R:3 pbc="T T T"
P -0.196 -0.158 0.222
P -2.407 -0.346 2.445
N -2.505 -2.023 2.833
```

***

[7]
SmYBi: relaxed, PBE.

Summary:
theoretical density: 7.084 g cm⁻³
N(E_F): 3.9 states/eV/f.u.
calculated volume: 35.02 Å³/atom
raw total energy: -5.389 eV per atom
ΔE_f: -0.368 eV per atom

```
6
Lattice="6.198 -0.006 -0.001 -3.101 2.593 -1.701 0.002 -4.364 15.961" Properties=species:S:1:pos:R:3 pbc="T T T"
Sm 3.098 -1.413 6.334
Sm 0.001 -0.365 7.925
Y 3.099 -0.313 2.352
Y 0.000 -1.465 11.907
Bi 0.001 -0.531 2.013
Bi 3.098 -1.247 12.246
```

***

[8]
Na2HfBr6: relaxed, PBE.

Summary:
raw formation energy: -1479 meV/atom
theoretical density: 4.069 g cm⁻³
N(E_F): 0.0 states/eV/f.u.
calculated volume: 31.92 Å³/atom
raw total energy: -3.993 eV per atom

```
18
Lattice="7.102 0.000 0.170 0.000 7.539 0.000 -0.641 0.000 10.715" Properties=species:S:1:pos:R:3 pbc="T T T"
Br 4.649 1.413 6.126
Br 2.016 4.149 8.354
Br 2.323 5.961 0.858
Br 5.044 5.183 10.202
Br 5.554 5.348 6.300
Br 0.574 0.379 7.804
Br 4.139 1.579 10.027
Br 1.813 6.126 4.759
Br 0.908 2.191 4.585
Br 4.446 3.390 2.532
Br 1.418 2.357 0.683
Br 5.888 7.160 3.081
Na 3.406 6.826 7.922
Na 0.175 4.483 2.479
Na 3.056 0.713 2.963
Na 6.286 3.056 8.406
Hf 3.551 3.770 0.085
Hf -0.320 0.000 5.357
```

***

[9]
AlCdW2: relaxed, PBE.

Summary:
theoretical density: 12.194 g cm⁻³
N(E_F): 2.2 states/eV/f.u.
calculated volume: 17.26 Å³/atom
energy above the most stable polymorph in this dataset: 0.0000 eV per atom
raw total energy: -7.391 eV per atom
ΔE_f: 0.250 eV per atom

```
4
Lattice="-2.691 0.816 0.212 0.712 -0.433 -2.694 -2.638 -8.885 0.731" Properties=species:S:1:pos:R:3 pbc="T T T"
W -1.650 -2.034 -1.058
W -0.054 -0.181 0.015
Cd -2.966 -6.466 -0.693
Al -1.266 -4.264 0.351
```

***

[10]
KTlCl2F: relaxed, PBE.

Summary:
raw formation energy: -1518 meV/atom
theoretical density: 3.814 g cm⁻³
N(E_F): 1.4 states/eV/f.u.
calculated volume: 29.03 Å³/atom
raw total energy: -3.323 eV per atom

```
5
Lattice="-0.206 -4.559 3.192 1.308 -3.144 -4.407 4.546 0.493 0.997" Properties=species:S:1:pos:R:3 pbc="T T T"
K 2.824 -3.605 -0.109
Cl 0.654 -1.572 -2.203
Cl -0.103 -2.280 1.596
F 2.273 0.246 0.499
Tl 0.000 0.000 0.000
```

***

[11]
Sc2OsCl: relaxed, PBE.

Summary:
raw formation energy: -714 meV/atom
theoretical density: 6.958 g cm⁻³
N(E_F): 1.2 states/eV/f.u.
calculated volume: 18.83 Å³/atom
energy above the most stable polymorph in this dataset: 0.2300 eV per atom
raw total energy: -7.149 eV per atom

```
4
Lattice="-3.997 5.237 4.722 -6.326 2.944 4.124 -4.100 2.461 6.544" Properties=species:S:1:pos:R:3 pbc="T T T"
Cl -3.606 2.660 3.848
Sc -0.062 0.045 0.066
Sc -7.150 5.276 7.629
Os -10.817 7.981 11.543
```

***

[12]
La2NdIn2: relaxed, PBE.

Summary:
theoretical density: 6.633 g cm⁻³
N(E_F): 6.1 states/eV/f.u.
calculated volume: 32.63 Å³/atom
energy above the most stable polymorph in this dataset: 0.1397 eV per atom
raw total energy: -4.273 eV per atom
ΔE_f: -0.253 eV per atom

```
5
Lattice="4.660 0.491 -0.189 -0.510 4.658 -0.189 -1.742 -2.161 7.589" Properties=species:S:1:pos:R:3 pbc="T T T"
In 2.110 2.618 1.192
In 0.298 0.370 6.019
Nd 0.000 0.000 0.000
La 2.570 0.393 3.606
La -0.162 2.595 3.606
```

***

[13]
CaSnS2: relaxed, PBE.

Summary:
raw formation energy: -1149 meV/atom
theoretical density: 3.741 g cm⁻³
calculated volume: 24.74 Å³/atom
raw total energy: -4.714 eV per atom

```
4
Lattice="4.018 0.000 0.000 2.009 3.479 0.000 2.009 1.160 7.079" Properties=species:S:1:pos:R:3 pbc="T T T"
Sn 6.026 3.479 7.068
Ca 4.018 2.320 3.568
S 2.009 1.160 1.802
S 2.009 1.160 5.260
```

***

[14]
Dy6Ho2Tm3Mg: relaxed, PBE.

Summary:
theoretical density: 8.369 g cm⁻³
N(E_F): 16.0 states/eV/f.u.
calculated volume: 30.36 Å³/atom
raw total energy: -4.286 eV per atom
ΔE_f: 0.029 eV per atom

```
12
Lattice="-5.198 2.002 2.429 0.394 -0.936 -5.991 -1.853 -11.115 2.648" Properties=species:S:1:pos:R:3 pbc="T T T"
Dy -4.064 -8.028 -2.089
Dy -2.591 -8.061 1.092
Dy -2.592 -2.020 1.176
Dy -5.927 -7.049 0.716
Dy -0.729 -2.999 -1.630
Dy -4.065 -1.988 -2.006
Ho -3.332 1.022 -0.380
Ho -1.472 0.044 -3.181
Tm -5.195 -4.043 2.355
Tm -3.328 -5.024 -0.457
Tm -1.461 -6.005 -3.269
Mg 0.000 0.000 0.000
```